ZrTiZnFe after structural relaxation, computed with GGA-PBE.

The space-group type is F-43m (216). The formation energy comes out at -0.15 eV/atom.

Unit cell a=6.3566 b=6.3566 c=6.3566 alpha=90.00 beta=90.00 gamma=90.00
Sites, in units of the cell vectors:
Zr1 0.0000 0.0000 0.0000
Zr2 0.0000 0.5000 0.5000
Zr3 0.5000 0.0000 0.5000
Zr4 0.5000 0.5000 0.0000
Ti1 0.0000 0.0000 0.5000
Ti2 0.0000 0.5000 0.0000
Ti3 0.5000 0.0000 0.0000
Ti4 0.5000 0.5000 0.5000
Zn1 0.2500 0.2500 0.7500
Zn2 0.2500 0.7500 0.2500
Zn3 0.7500 0.2500 0.2500
Zn4 0.7500 0.7500 0.7500
Fe1 0.2500 0.2500 0.2500
Fe2 0.2500 0.7500 0.7500
Fe3 0.7500 0.2500 0.7500
Fe4 0.7500 0.7500 0.2500

---

Ba2InNiN after structural relaxation, computed with GGA-PBE.

The energy relative to the elements, uncorrected is -0.116 eV/atom. The space-group type is P4/mmm (123). The offset from the most stable computed form is 4.57 kcal/mol of atoms.

Unit cell a=6.3055 b=6.3055 c=3.5307 alpha=90.00 beta=90.00 gamma=90.00
Sites, in units of the cell vectors:
Ba1 0.0000 0.5000 0.0000
Ba2 0.5000 0.0000 0.0000
In1 0.0000 0.0000 0.5000
Ni1 0.5000 0.5000 0.0000
N1 0.5000 0.5000 0.5000

---

TiGaMo2 after structural relaxation, computed with GGA-PBE.

The space-group type is I-42d (122). The formation energy comes out at 0.49 eV/atom.

Unit cell a=7.0834 b=7.0834 c=5.3601 alpha=90.00 beta=90.00 gamma=90.00
Sites, in units of the cell vectors:
Ti1 0.0000 0.0000 0.0000
Ti2 0.0000 0.5000 0.2500
Ti3 0.5000 0.0000 0.7500
Ti4 0.5000 0.5000 0.5000
Ga1 0.0000 0.0000 0.5000
Ga2 0.0000 0.5000 0.7500
Ga3 0.5000 0.0000 0.2500
Ga4 0.5000 0.5000 0.0000
Mo1 0.2400 0.2500 0.6250
Mo2 0.2500 0.7400 0.8750
Mo3 0.2500 0.7600 0.3750
Mo4 0.2600 0.2500 0.1250
Mo5 0.7400 0.7500 0.1250
Mo6 0.7500 0.2400 0.3750
Mo7 0.7500 0.2600 0.8750
Mo8 0.7600 0.7500 0.6250

---

SnPb3S after structural relaxation, computed with GGA-PBE.

The energy relative to the elements, uncorrected is 0.132 eV/atom. The space-group type is Pm-3m (221). The offset from the most stable computed form is 0.00 kcal/mol of atoms.

Unit cell a=5.5267 b=5.5267 c=5.5267 alpha=90.00 beta=90.00 gamma=90.00
Sites, in units of the cell vectors:
Sn1 0.0000 0.0000 0.0000
Pb1 0.0000 0.5000 0.5000
Pb2 0.5000 0.0000 0.5000
Pb3 0.5000 0.5000 0.0000
S1 0.5000 0.5000 0.5000

---

CaIrAu2 after structural relaxation, computed with GGA-PBE.

The space-group type is F-43m (216). The formation energy comes out at -0.02 eV/atom.

Unit cell a=6.7248 b=6.7248 c=6.7248 alpha=90.00 beta=90.00 gamma=90.00
Sites, in units of the cell vectors:
Ca1 0.0000 0.0000 0.0000
Ca2 0.0000 0.5000 0.5000
Ca3 0.5000 0.0000 0.5000
Ca4 0.5000 0.5000 0.0000
Ir1 0.2500 0.2500 0.7500
Ir2 0.2500 0.7500 0.2500
Ir3 0.7500 0.2500 0.2500
Ir4 0.7500 0.7500 0.7500
Au1 0.0000 0.0000 0.5000
Au2 0.0000 0.5000 0.0000
Au3 0.2500 0.2500 0.2500
Au4 0.2500 0.7500 0.7500
Au5 0.5000 0.0000 0.0000
Au6 0.5000 0.5000 0.5000
Au7 0.7500 0.2500 0.7500
Au8 0.7500 0.7500 0.2500

---

TmHg4Pb after structural relaxation, computed with GGA-PBE.

The space-group type is P4/mmm (123). The formation energy comes out at -0.14 eV/atom. The offset from the most stable computed form is 0.76 kcal/mol of atoms.

Unit cell a=3.7664 b=3.7664 c=10.8477 alpha=90.00 beta=90.00 gamma=90.00
Sites, in units of the cell vectors:
Tm1 0.0000 0.0000 0.0000
Hg1 0.0000 0.0000 0.3155
Hg2 0.0000 0.0000 0.6845
Hg3 0.5000 0.5000 0.1568
Hg4 0.5000 0.5000 0.8432
Pb1 0.5000 0.5000 0.5000

---

CaNdEr2Tl4 after structural relaxation, computed with GGA-PBE.

The space-group type is R-3m (166). The formation energy comes out at -0.36 eV/atom.

Unit cell a=9.4326 b=9.4326 c=9.4326 alpha=33.29 beta=33.29 gamma=33.29
Sites, in units of the cell vectors:
Ca1 0.0000 0.0000 0.0000
Nd1 0.5000 0.5000 0.5000
Er1 0.2521 0.2521 0.2521
Er2 0.7479 0.7479 0.7479
Tl1 0.1246 0.1246 0.1246
Tl2 0.3745 0.3745 0.3745
Tl3 0.6255 0.6255 0.6255
Tl4 0.8754 0.8754 0.8754

---

CuAsPt after structural relaxation, computed with GGA-PBE.

The space-group type is P-6m2 (187). The formation energy comes out at -0.05 eV/atom. The offset from the most stable computed form is 1.62 kcal/mol of atoms.

Unit cell a=4.3452 b=4.3452 c=2.8463 alpha=90.00 beta=90.00 gamma=120.00
Sites, in units of the cell vectors:
Cu1 0.0000 0.0000 0.0000
As1 0.3333 0.6667 0.5000
Pt1 0.6667 0.3333 0.5000

---

Copy entry 4 word for word.
SnPb3S after structural relaxation, computed with GGA-PBE.

The energy relative to the elements, uncorrected is 0.132 eV/atom. The space-group type is Pm-3m (221). The offset from the most stable computed form is 0.00 kcal/mol of atoms.

Unit cell a=5.5267 b=5.5267 c=5.5267 alpha=90.00 beta=90.00 gamma=90.00
Sites, in units of the cell vectors:
Sn1 0.0000 0.0000 0.0000
Pb1 0.0000 0.5000 0.5000
Pb2 0.5000 0.0000 0.5000
Pb3 0.5000 0.5000 0.0000
S1 0.5000 0.5000 0.5000